[1]
The following is a PBE calculation of CsLaPO2 after structural relaxation, from Alexandria.

The value obtained for the uncorrected formation energy is -0.136 eV/atom. Its total energy is -4.357 eV per atom.

Cell: 4.5033 4.5033 5.6023 Å, 90.00 90.00 90.00°
Space group P4/mmm (No. 123)
Asymmetric unit:
Cs 0.0000 0.0000 0.0000
La 0.5000 0.5000 0.5000
P 0.0000 0.0000 0.5000
O 0.0000 0.5000 0.0000

***

[2]
The following is a PBE calculation of Cs3LaPa2O9 after structural relaxation, from Alexandria.

The value obtained for the uncorrected formation energy is -2.691 eV/atom. Its total energy is -7.431 eV per atom.

Cell: 6.4270 6.4270 7.8659 Å, 90.00 90.00 120.00°
Space group P-3m1 (No. 164)
Asymmetric unit:
Cs 0.0000 0.0000 0.0000
Cs 0.3333 0.6667 0.6636
La 0.0000 0.0000 0.5000
Pa 0.3333 0.6667 0.1627
O 0.0000 0.5000 0.0000
O 0.1778 0.3555 0.3182

***

[3]
The following is a PBE calculation of Cs4LaPa3O12 after structural relaxation, from Alexandria.

The value obtained for the uncorrected formation energy is -2.794 eV/atom. Its total energy is -7.611 eV per atom.

Cell: 9.0486 9.0486 9.0486 Å, 90.00 90.00 90.00°
Space group Im-3m (No. 229)
Asymmetric unit:
Cs 0.2500 0.2500 0.2500
La 0.0000 0.0000 0.0000
Pa 0.0000 0.0000 0.5000
O 0.0000 0.0000 0.2698
O 0.0000 0.2500 0.5000

***

[4]
The following is a PBE calculation of Cs3LaPb2O6 after structural relaxation, from Alexandria.

The value obtained for the uncorrected formation energy is -1.556 eV/atom. Its total energy is -5.277 eV per atom.

Cell: 6.6802 6.6802 7.9772 Å, 90.00 90.00 120.00°
Space group P-3m1 (No. 164)
Asymmetric unit:
Cs 0.0000 0.0000 0.0000
Cs 0.3333 0.6667 0.6656
La 0.0000 0.0000 0.5000
Pb 0.3333 0.6667 0.2118
O 0.1657 0.3313 0.3203